Arrangement one

VASP calculation (PBE-GGA) on crystalline Ba4Rh at its relaxed geometry. Values from VASP.

The structure in Quantum ESPRESSO input format:
```
&SYSTEM
  ibrav = 0, nat = 10, ntyp = 2
/
ATOMIC_SPECIES
Ba 137.33 Ba.upf
Rh 102.91 Rh.upf
CELL_PARAMETERS angstrom
0.0000 6.5639 6.5639
6.5639 0.0000 6.5639
6.5639 6.5639 0.0000
ATOMIC_POSITIONS angstrom
Ba 11.4729 11.4729 11.4729
Ba 8.2189 11.4729 8.2189
Ba 8.2189 8.2189 11.4729
Ba 8.1910 4.9369 8.1910
Ba 4.9369 4.9369 4.9369
Ba 11.4729 8.2189 8.2189
Ba 8.1910 8.1910 4.9369
Ba 4.9369 8.1910 8.1910
Rh 3.2820 3.2820 3.2820
Rh 0.0000 0.0000 0.0000
```

Summary:
- V (Å³/f.u.) = 283
- space group = No. 227
- DOS(E_F) (states/eV/cell) = 11.93

Arrangement two

VASP calculation (PBE-GGA) on crystalline Ba4Rh at its relaxed geometry. Values from VASP.

The structure in Quantum ESPRESSO input format:
```
&SYSTEM
  ibrav = 0, nat = 5, ntyp = 2
/
ATOMIC_SPECIES
Rh 102.91 Rh.upf
Ba 137.33 Ba.upf
CELL_PARAMETERS angstrom
6.2737 0.0000 0.0000
0.0000 6.2737 0.0000
0.0000 0.0000 6.2737
ATOMIC_POSITIONS angstrom
Rh 3.1368 3.1368 3.1368
Ba 0.0000 0.0000 0.0000
Ba 3.1368 0.0000 3.1368
Ba 0.0000 3.1368 3.1368
Ba 3.1368 3.1368 0.0000
```

Summary:
- V (Å³/f.u.) = 247
- space group = No. 221
- DOS(E_F) (states/eV/cell) = 5.20

Arrangement three

VASP calculation (PBE-GGA) on crystalline Ba4Rh at its relaxed geometry. Values from VASP.

The structure in Quantum ESPRESSO input format:
```
&SYSTEM
  ibrav = 0, nat = 10, ntyp = 2
/
ATOMIC_SPECIES
Ba 137.33 Ba.upf
Rh 102.91 Rh.upf
CELL_PARAMETERS angstrom
8.7041 -0.3273 0.0000
-3.6562 7.9058 0.0000
-2.5240 -3.7892 7.6912
ATOMIC_POSITIONS angstrom
Ba 2.7651 0.5404 5.1553
Ba 5.6133 -1.3567 2.5359
Ba 4.6812 -3.2583 6.2966
Ba -2.2866 6.8533 1.3946
Ba -0.4585 2.9004 2.4510
Ba -3.3271 4.8111 5.2402
Ba -1.5870 0.7041 6.3815
Ba 3.7852 2.5961 1.3097
Rh 1.2224 1.8352 0.0000
Rh -0.6057 5.7881 3.8456
```

Summary:
- V (Å³/f.u.) = 260
- space group = No. 43
- DOS(E_F) (states/eV/cell) = 10.33

Pick arrangement three: it beats the second-best structure by 5.4 kJ/mol of atoms.

Arrangement one

VASP calculation (PBE-GGA) on crystalline Ba4Rh at its relaxed geometry. Values from VASP.

The structure in Quantum ESPRESSO input format:
```
&SYSTEM
  ibrav = 0, nat = 5, ntyp = 2
/
ATOMIC_SPECIES
Ba 137.33 Ba.upf
Rh 102.91 Rh.upf
CELL_PARAMETERS angstrom
-2.2696 2.2696 11.3528
2.2696 -2.2696 11.3528
2.2696 2.2696 -11.3528
ATOMIC_POSITIONS angstrom
Ba 0.0000 2.2696 5.6764
Ba 2.2696 0.0000 5.6764
Ba 0.0000 0.0000 13.0876
Ba 0.0000 0.0000 9.6181
Rh 0.0000 0.0000 0.0000
```

Summary:
- V (Å³/f.u.) = 234
- space group = No. 139
- DOS(E_F) (states/eV/cell) = 7.24

Arrangement two

VASP calculation (PBE-GGA) on crystalline Ba4Rh at its relaxed geometry. Values from VASP.

The structure in Quantum ESPRESSO input format:
```
&SYSTEM
  ibrav = 0, nat = 5, ntyp = 2
/
ATOMIC_SPECIES
Ba 137.33 Ba.upf
Rh 102.91 Rh.upf
CELL_PARAMETERS angstrom
-3.2490 2.4596 -6.8425
3.2772 -5.7145 4.4756
-6.9945 -0.3312 3.7939
ATOMIC_POSITIONS angstrom
Ba -2.2020 -0.7986 -2.3496
Ba -5.5498 -0.6472 0.8240
Ba -4.7643 -2.7875 3.7765
Ba -1.4165 -2.9389 0.6030
Rh 0.0000 0.0000 0.0000
```

Summary:
- V (Å³/f.u.) = 239
- space group = No. 87
- DOS(E_F) (states/eV/cell) = 6.08

Pick arrangement two: it beats the second-best structure by 58.8 kJ/mol of atoms.

Arrangement one

VASP calculation (PBE-GGA) on crystalline BaRuRh2 at its relaxed geometry. Values from VASP.

The structure in Quantum ESPRESSO input format:
```
&SYSTEM
  ibrav = 0, nat = 4, ntyp = 3
/
ATOMIC_SPECIES
Ba 137.33 Ba.upf
Rh 102.91 Rh.upf
Ru 101.07 Ru.upf
CELL_PARAMETERS angstrom
-0.9620 -3.3448 1.0455
2.7499 -0.9341 -0.4581
4.4885 0.7505 6.5310
ATOMIC_POSITIONS angstrom
Ba 4.9478 -1.8101 5.0774
Rh 2.8744 -0.8118 0.0475
Rh 3.4947 -0.2140 2.5307
Ru 1.3286 -1.7183 2.0410
```

Summary:
- V (Å³/f.u.) = 79
- space group = No. 47
- DOS(E_F) (states/eV/cell) = 5.30

Arrangement two

VASP calculation (PBE-GGA) on crystalline BaRuRh2 at its relaxed geometry. Values from VASP.

The structure in Quantum ESPRESSO input format:
```
&SYSTEM
  ibrav = 0, nat = 4, ntyp = 3
/
ATOMIC_SPECIES
Ba 137.33 Ba.upf
Rh 102.91 Rh.upf
Ru 101.07 Ru.upf
CELL_PARAMETERS angstrom
5.0601 0.0000 0.0000
0.0000 5.0601 0.0000
0.0000 0.0000 3.0039
ATOMIC_POSITIONS angstrom
Ba 0.0000 2.5300 1.5019
Rh 0.0000 0.0000 0.0000
Rh 2.5300 2.5300 0.0000
Ru 2.5300 0.0000 1.5019
```

Summary:
- V (Å³/f.u.) = 77
- space group = No. 123
- DOS(E_F) (states/eV/cell) = 5.04

Arrangement three

VASP calculation (PBE-GGA) on crystalline BaRuRh2 at its relaxed geometry. Values from VASP.

The structure in Quantum ESPRESSO input format:
```
&SYSTEM
  ibrav = 0, nat = 4, ntyp = 3
/
ATOMIC_SPECIES
Ba 137.33 Ba.upf
Rh 102.91 Rh.upf
Ru 101.07 Ru.upf
CELL_PARAMETERS angstrom
5.9138 -0.0083 -0.0044
3.0139 5.0882 0.0044
-3.7578 -3.7807 2.5608
ATOMIC_POSITIONS angstrom
Ba 1.8771 1.9334 1.2826
Rh 8.6929 4.9463 0.0000
Rh 3.2456 -0.6611 1.2782
Ru 4.7458 2.7004 0.0000
```

Summary:
- V (Å³/f.u.) = 77
- space group = No. 44
- DOS(E_F) (states/eV/cell) = 5.96

Arrangement four

VASP calculation (PBE-GGA) on crystalline BaRuRh2 at its relaxed geometry. Values from VASP.

The structure in Quantum ESPRESSO input format:
```
&SYSTEM
  ibrav = 0, nat = 4, ntyp = 3
/
ATOMIC_SPECIES
Ba 137.33 Ba.upf
Rh 102.91 Rh.upf
Ru 101.07 Ru.upf
CELL_PARAMETERS angstrom
-3.9670 1.0417 3.0949
-1.3680 -3.9310 -3.0128
1.0739 -1.9253 2.0245
ATOMIC_POSITIONS angstrom
Ba -0.1471 -2.9282 -0.4941
Rh 0.0000 0.0000 0.0000
Rh -2.6675 -1.4447 0.0411
Ru -1.4466 -0.4418 2.5597
```

Summary:
- V (Å³/f.u.) = 75
- space group = No. 65
- DOS(E_F) (states/eV/cell) = 4.90

Pick arrangement one: it beats the second-best structure by 24.7 kJ/mol of atoms.

Arrangement one

VASP calculation (PBE-GGA) on crystalline Ba2RuRh at its relaxed geometry. Values from VASP.

The structure in Quantum ESPRESSO input format:
```
&SYSTEM
  ibrav = 0, nat = 4, ntyp = 3
/
ATOMIC_SPECIES
Ba 137.33 Ba.upf
Rh 102.91 Rh.upf
Ru 101.07 Ru.upf
CELL_PARAMETERS angstrom
-1.1873 4.1265 -0.7973
-2.7442 1.9760 2.7637
5.4580 4.8739 5.3295
ATOMIC_POSITIONS angstrom
Ba -3.0997 6.4585 2.5451
Ba 0.3065 7.8866 4.8966
Rh -0.1298 5.1986 3.0826
Ru 1.2812 3.0232 2.3858
```

Summary:
- V (Å³/f.u.) = 145
- space group = No. 8
- DOS(E_F) (states/eV/cell) = 4.67

Arrangement two

VASP calculation (PBE-GGA) on crystalline Ba2RuRh at its relaxed geometry. Values from VASP.

The structure in Quantum ESPRESSO input format:
```
&SYSTEM
  ibrav = 0, nat = 4, ntyp = 3
/
ATOMIC_SPECIES
Ba 137.33 Ba.upf
Rh 102.91 Rh.upf
Ru 101.07 Ru.upf
CELL_PARAMETERS angstrom
8.3732 -0.0022 -0.0048
-3.3317 4.1016 -0.0005
1.7098 1.3982 3.0813
ATOMIC_POSITIONS angstrom
Ba 0.0000 0.0000 0.0000
Ba 5.0415 0.6980 1.5383
Rh -0.8110 2.7499 1.5404
Ru 2.5207 2.0497 -0.0026
```

Summary:
- V (Å³/f.u.) = 106
- space group = No. 12
- DOS(E_F) (states/eV/cell) = 5.73

Pick arrangement one: it beats the second-best structure by 49.3 kJ/mol of atoms.

Arrangement one

VASP calculation (PBE-GGA) on crystalline Ba2RuRh at its relaxed geometry. Values from VASP.

The structure in Quantum ESPRESSO input format:
```
&SYSTEM
  ibrav = 0, nat = 4, ntyp = 3
/
ATOMIC_SPECIES
Ba 137.33 Ba.upf
Rh 102.91 Rh.upf
Ru 101.07 Ru.upf
CELL_PARAMETERS angstrom
-2.0971 2.2342 5.3650
-1.4900 -3.9067 4.5487
4.7091 0.9810 -3.8775
ATOMIC_POSITIONS angstrom
Ba 0.0000 0.0000 0.0000
Ba 0.7128 -1.8810 2.8140
Rh -1.7936 -0.8363 4.9568
Ru 0.4092 1.1895 3.2222
```

Summary:
- V (Å³/f.u.) = 103
- space group = No. 119
- DOS(E_F) (states/eV/cell) = 4.66

Arrangement two

VASP calculation (PBE-GGA) on crystalline Ba2RuRh at its relaxed geometry. Values from VASP.

The structure in Quantum ESPRESSO input format:
```
&SYSTEM
  ibrav = 0, nat = 4, ntyp = 3
/
ATOMIC_SPECIES
Ru 101.07 Ru.upf
Rh 102.91 Rh.upf
Ba 137.33 Ba.upf
CELL_PARAMETERS angstrom
2.3653 -4.6743 0.8629
-2.8344 -4.1205 1.7821
-1.0042 -4.1144 -3.2018
ATOMIC_POSITIONS angstrom
Ru 0.0000 0.0000 0.0000
Rh -0.7366 -6.4546 -0.2784
Ba -0.3683 -3.2273 -0.1392
Ba -1.1050 -9.6820 -0.4176
```

Summary:
- V (Å³/f.u.) = 106
- space group = No. 225
- DOS(E_F) (states/eV/cell) = 5.81

Arrangement three

VASP calculation (PBE-GGA) on crystalline Ba2RuRh at its relaxed geometry. Values from VASP.

The structure in Quantum ESPRESSO input format:
```
&SYSTEM
  ibrav = 0, nat = 8, ntyp = 3
/
ATOMIC_SPECIES
Ru 101.07 Ru.upf
Rh 102.91 Rh.upf
Ba 137.33 Ba.upf
CELL_PARAMETERS angstrom
8.2331 0.0000 0.0000
0.0000 8.2331 0.0000
4.1165 4.1165 3.2828
ATOMIC_POSITIONS angstrom
Ru 4.1165 4.1165 0.0000
Ru 4.1165 8.2331 1.6414
Rh 0.0000 0.0000 0.0000
Rh 8.2331 4.1165 1.6414
Ba 6.2457 2.0583 0.8207
Ba 1.9874 6.1748 0.8207
Ba 6.1748 6.1039 2.4621
Ba 10.2913 10.3622 2.4621
```

Summary:
- V (Å³/f.u.) = 111
- space group = No. 122
- DOS(E_F) (states/eV/cell) = 12.73

Pick arrangement two: it beats the second-best structure by 7.1 kJ/mol of atoms.